Material: InSbAs2
Method: DFT, GGA-PBE
State: relaxed

a = 5.7001 Å, b = 5.7001 Å, c = 5.5458 Å
α = 69.57°, β = 69.57°, γ = 36.51°
With the nearest neighbours (Å) after each atom.
Fractional positions:
As 0.0202 0.0202 0.9896  2 As 2.64
As 0.7132 0.7132 0.8218  2 As 2.64, 2 Sb 2.88
Sb 0.2760 0.2760 0.1684  4 As 2.88-3.04
In 0.4906 0.4906 0.5203  7 As 3.27-3.40, 4 Sb 3.48-3.54, 2 In 3.57

Properties
The energy relative to the elements, uncorrected comes out at 4.12 kcal/mol of atoms. The calculated density is 6.44 g cm⁻³. The energy above the most stable polymorph in this dataset comes out at 20.3 kJ per mole of atoms. As for the magnetization: 0.0 μB per formula unit. For the density of states at the Fermi level, the calculation gives 2.20 states/eV/f.u. The calculation puts the total energy at -3.861 eV per atom.